A plane-wave DFT calculation with PBE was carried out for a geometry-optimized Pr2NdI2N2 structure.

The structure in CIF format:
```
data_Pr2NdI2N2
_chemical_formula_sum 'Pr4 Nd2 I4 N4'
_cell_length_a 4.661
_cell_length_b 4.661
_cell_length_c 19.301
_cell_angle_alpha 90.00
_cell_angle_beta 90.00
_cell_angle_gamma 90.00
_symmetry_space_group_name_H-M 'I 4/m m m'
_symmetry_Int_Tables_number 139
_symmetry_space_group_name_Hall '-I 4 2'
loop_
_atom_site_label
_atom_site_type_symbol
_atom_site_fract_x
_atom_site_fract_y
_atom_site_fract_z
Pr1 Pr 0.000 0.000 0.078
Nd1 Nd 0.000 0.000 0.500
I1 I 0.000 0.000 0.332
N1 N 0.000 0.500 0.000
```

Values from the calculation:
- VASP energy (eV/atom) = -5.92
- energy relative to the elements, uncorrected (eV/atom) = -1.05
- total moment (μB/cell) = 1.97